VASP calculation (PBE-GGA) on crystalline La12Tb2Er5 at its relaxed geometry.

Energy   -0.173 hartree per atom
Excess energy over the best structure of this formula in the dataset   0 meV per atom

a b c (Å): 11.773 8.885 9.566
angles (deg): 69.81 90.00 131.49
Element x y z (fractional)
La (0.561, 0.122, 0.222)
La (0.439, 0.878, 0.778)
La (0.521, 0.568, 0.815)
La (0.904, 0.808, 0.918)
La (0.638, 0.793, 0.405)
La (0.155, 0.793, 0.405)
La (0.953, 0.432, 0.185)
La (0.362, 0.207, 0.595)
La (0.047, 0.568, 0.815)
La (0.479, 0.432, 0.185)
La (0.096, 0.192, 0.082)
La (0.845, 0.207, 0.595)
Er (0.781, 0.561, 0.364)
Er (0.696, 0.393, 0.769)
Er (0.219, 0.439, 0.636)
Er (0.000, 0.000, 0.500)
Er (0.304, 0.607, 0.231)
Tb (0.285, 0.000, 0.000)
Tb (0.715, 0.000, 0.000)